Record 1
A relaxed structure of HoFeNiC. Source: Alexandria, functional PBE-GGA.

Lattice parameters (Å, degrees): 3.4138 3.4138 9.2531 90.00 90.00 90.00
Closest atoms and distances in Å follow each position.
Positions (direct):
C: 0.2500 0.2500 0.1010  4 Fe 1.95
C: 0.7500 0.7500 0.8990  4 Fe 1.95
Ni: 0.2500 0.7500 0.5000  4 Ni 2.41
Ni: 0.7500 0.2500 0.5000  4 Ni 2.41
Fe: 0.7500 0.2500 0.0000  4 C 1.95
Fe: 0.2500 0.7500 0.0000  4 C 1.95
Ho: 0.2500 0.2500 0.7433  4 C 2.81, 4 Ni 2.82, 4 Fe 2.93
Ho: 0.7500 0.7500 0.2567  4 C 2.81, 4 Ni 2.82, 4 Fe 2.93

formation energy: -0.1776 eV per atom
total magnetic moment: 0.00 μB per formula unit

---

Record 2
A relaxed structure of HoFe2PC. Source: Alexandria, functional PBE-GGA.

Lattice parameters (Å, degrees): 3.6447 5.4822 6.6641 90.00 90.00 109.42
Closest atoms and distances in Å follow each position.
Positions (direct):
Fe: 0.8326 0.6653 0.4431  1 C 1.77
Fe: 0.8326 0.6653 0.0569  1 C 1.77
Fe: 0.1674 0.3347 0.9431  1 C 1.77
Fe: 0.1674 0.3347 0.5569  1 C 1.77
C: 0.0000 0.0000 0.0000  2 Fe 1.77
C: 0.0000 0.0000 0.5000  2 Fe 1.77
P: 0.7302 0.4604 0.7500  6 Fe 2.30-2.32
P: 0.2698 0.5396 0.2500  6 Fe 2.30-2.32
Ho: 0.5479 0.0958 0.2500  4 C 2.52
Ho: 0.4521 0.9042 0.7500  4 C 2.52

formation energy: -0.7088 eV per atom
total magnetic moment: 0.00 μB per formula unit

---

Record 3
A relaxed structure of HoPa2FeC4. Source: Alexandria, functional PBE-GGA.

Lattice parameters (Å, degrees): 3.5051 5.9817 11.8973 90.00 90.00 107.04
Closest atoms and distances in Å follow each position.
Positions (direct):
Pa: 0.6341 0.2681 0.4533  6 C 2.39-2.51
Pa: 0.3659 0.7319 0.5467  6 C 2.39-2.51
Pa: 0.3659 0.7319 0.9533  6 C 2.39-2.51
Pa: 0.6341 0.2681 0.0467  6 C 2.39-2.51
Ho: 0.1136 0.2273 0.7500  6 C 2.64-2.88
Ho: 0.8864 0.7727 0.2500  6 C 2.64-2.88
C: 0.7354 0.4708 0.6316  1 Fe 1.87
C: 0.0000 0.0000 0.5000  4 Pa 2.39
C: 0.2646 0.5292 0.1316  1 Fe 1.87
C: 0.2646 0.5292 0.3684  1 Fe 1.87
C: 0.7354 0.4708 0.8684  1 Fe 1.87
C: 0.0000 0.0000 0.0000  4 Pa 2.39
C: 0.5859 0.1717 0.2500  2 Fe 1.93
C: 0.4141 0.8283 0.7500  2 Fe 1.93
Fe: 0.1575 0.3150 0.2500  4 C 1.87-1.93
Fe: 0.8425 0.6850 0.7500  4 C 1.87-1.93

formation energy: -0.1506 eV per atom
total magnetic moment: 0.00 μB per formula unit

---

Record 4
A relaxed structure of HoFeSiC. Source: Alexandria, functional PBE-GGA.

Lattice parameters (Å, degrees): 3.6218 3.6218 8.8489 90.00 90.00 90.00
Closest atoms and distances in Å follow each position.
Positions (direct):
Si: 0.5000 0.0000 0.6674  1 C 1.80
Si: 0.0000 0.5000 0.3326  1 C 1.80
Ho: 0.0000 0.5000 0.8594  5 C 2.38-2.56
Ho: 0.5000 0.0000 0.1406  5 C 2.38-2.56
C: 0.0000 0.5000 0.1287  1 Si 1.80
C: 0.5000 0.0000 0.8713  1 Si 1.80
Fe: 0.5000 0.5000 0.5000  4 Si 2.34, 4 Fe 2.56
Fe: 0.0000 0.0000 0.5000  4 Si 2.34, 4 Fe 2.56

total magnetic moment: 1.44 μB per formula unit
E_form (uncorrected): -9.56 kcal/mol of atoms